[1]
Mg2NbVBi: relaxed, PBE.

Geometry as POSCAR:
```
Mg2NbVBi
1.0
5.266 0.000 0.000
0.000 5.358 0.000
0.000 0.000 5.266
Mg Nb V Bi
2 1 1 1
direct
0.500 0.000 0.000
0.000 0.000 0.500
0.000 0.000 0.000
0.500 0.500 0.500
0.000 0.500 0.000
```

Values from the calculation:
Energy   -0.2793 Ry/atom
Total magnetic moment   0.99 μB/cell
D(E_F)   9.679 states/eV/f.u.



[2]
Pm3Sm4Ir4: relaxed, PBE.

Geometry as POSCAR:
```
Pm3Sm4Ir4
1.0
-1.216 -2.492 -2.797
-2.857 -5.547 6.183
-5.265 7.682 -1.781
Sm Ir Pm
4 4 3
direct
0.667 0.477 0.334
0.333 0.144 0.666
0.333 0.523 0.666
0.667 0.856 0.334
0.748 0.248 0.497
0.252 0.752 0.503
0.500 0.782 0.000
0.500 0.218 0.000
0.099 0.099 0.199
0.000 0.500 0.000
0.901 0.901 0.801
```

Values from the calculation:
Energy   -0.4975 Ry/atom
Total magnetic moment   0.00 μB/cell
D(E_F)   7.323 states/eV/f.u.



[3]
TbNdSm2Sc: relaxed, PBE.

Geometry as POSCAR:
```
TbNdSm2Sc
1.0
-2.790 -5.464 2.552
4.789 0.447 6.194
-4.176 3.522 2.975
Tb Sm Nd Sc
2 4 2 2
direct
0.403 0.000 0.750
0.597 0.000 0.250
0.283 0.710 0.250
0.717 0.710 0.750
0.283 0.290 0.250
0.717 0.290 0.750
0.194 0.500 0.750
0.806 0.500 0.250
0.000 0.000 0.000
0.000 0.000 0.500
```

Values from the calculation:
Energy   -0.3536 Ry/atom
Total magnetic moment   0.00 μB/cell
D(E_F)   7.409 states/eV/f.u.



[4]
DyU3Pt12: relaxed, PBE.

Geometry as POSCAR:
```
DyU3Pt12
1.0
4.151 0.000 0.000
0.000 4.151 0.000
0.000 0.000 16.582
U Pt Dy
3 12 1
direct
0.000 0.000 0.248
0.000 0.000 0.752
0.000 0.000 0.500
0.500 0.000 0.874
0.500 0.000 0.374
0.500 0.000 0.626
0.000 0.500 0.374
0.500 0.000 0.126
0.000 0.500 0.626
0.500 0.500 0.249
0.500 0.500 0.751
0.500 0.500 0.000
0.000 0.500 0.874
0.500 0.500 0.500
0.000 0.500 0.126
0.000 0.000 0.000
```

Values from the calculation:
Energy   -0.5701 Ry/atom
Total magnetic moment   5.26 μB/cell
D(E_F)   19.883 states/eV/f.u.



[5]
VZn2C: relaxed, PBE.

Geometry as POSCAR:
```
VZn2C
1.0
-4.262 -5.359 -1.643
5.227 -3.055 -3.596
1.080 -5.209 -0.899
V Zn C
2 4 2
direct
0.750 0.250 0.500
0.000 0.000 0.000
0.375 0.465 0.750
0.215 0.625 0.250
0.535 0.125 0.250
0.875 0.785 0.750
0.500 0.500 0.000
0.250 0.750 0.500
```

Values from the calculation:
Energy   -0.3455 Ry/atom
Total magnetic moment   1.94 μB/cell
D(E_F)   1.939 states/eV/f.u.



[6]
BaCu4O7: relaxed, PBE.

Geometry as POSCAR:
```
BaCu4O7
1.0
3.180 -5.508 0.000
3.180 5.508 0.000
0.000 0.000 10.361
Cu O Ba
8 14 2
direct
0.831 0.663 0.194
0.000 0.000 0.445
0.663 0.831 0.694
0.831 0.169 0.194
0.169 0.831 0.694
0.169 0.337 0.694
0.337 0.169 0.194
0.000 0.000 0.945
0.988 0.494 0.232
0.000 0.000 0.757
0.012 0.506 0.732
0.506 0.012 0.232
0.693 0.846 0.514
0.000 0.000 0.257
0.494 0.506 0.732
0.154 0.846 0.514
0.506 0.494 0.232
0.846 0.154 0.014
0.307 0.154 0.014
0.494 0.988 0.732
0.846 0.693 0.014
0.154 0.307 0.514
0.333 0.667 0.029
0.667 0.333 0.529
```

Values from the calculation:
Total magnetic moment   12.54 μB/cell
D(E_F)   7.483 states/eV/f.u.
Energy relative to the elements, uncorrected   -593.2 meV per atom